1.
A relaxed In3AgAu3 crystal, computed with PBE.

Lattice parameters (Å, degrees): 8.413 8.413 8.413 90.00 90.00 90.00
Space group P2_13 (No. 198)
Asymmetric unit:
In 0.056 0.444 0.556 (multiplicity 4)
In 0.111 0.889 0.389 (multiplicity 4)
In 0.208 0.208 0.208 (multiplicity 4)
Ag 0.092 0.592 0.908 (multiplicity 4)
Au 0.069 0.248 0.859 (multiplicity 12)

Computed properties:
- ΔH_f (0 K) (meV/atom) = -125
- crystal system = cubic
- relative energy among the computed polymorphs (meV per atom) = 0

***

2.
A relaxed In2Ag5Au4 crystal, computed with PBE.

Lattice parameters (Å, degrees): 7.656 2.964 9.503 90.00 95.75 90.00
Space group P2/m (No. 10)
Asymmetric unit:
In 0.089 0.000 0.158 (multiplicity 2)
Ag 0.197 0.000 0.664 (multiplicity 2)
Ag 0.466 0.000 0.174 (multiplicity 2)
Ag 0.500 0.000 0.500 (multiplicity 1)
Au 0.183 0.500 0.408 (multiplicity 2)
Au 0.251 0.500 0.936 (multiplicity 2)

Computed properties:
- ΔH_f (0 K) (meV/atom) = 2
- crystal system = monoclinic
- relative energy among the computed polymorphs (meV per atom) = 30

***

3.
A relaxed In2Ag3Au7 crystal, computed with PBE.

Lattice parameters (Å, degrees): 3.007 5.517 13.963 83.08 87.58 82.57
Space group P-1 (No. 2)
Asymmetric unit:
In 0.077 0.049 0.324 (multiplicity 2)
Ag 0.000 0.500 0.000 (multiplicity 1)
Ag 0.475 0.461 0.660 (multiplicity 2)
Au 0.001 0.238 0.834 (multiplicity 2)
Au 0.083 0.248 0.502 (multiplicity 2)
Au 0.458 0.717 0.837 (multiplicity 2)
Au 0.500 0.000 0.000 (multiplicity 1)

Computed properties:
- ΔH_f (0 K) (meV/atom) = -39
- crystal system = triclinic

***

4.
A relaxed In3Ag2Au4 crystal, computed with PBE.

Lattice parameters (Å, degrees): 13.448 11.338 4.890 90.00 99.84 90.00
Space group C2/c (No. 15)
Asymmetric unit:
In 0.000 0.152 0.250 (multiplicity 4)
In 0.168 0.378 0.084 (multiplicity 8)
Ag 0.109 0.087 0.803 (multiplicity 8)
Au 0.057 0.376 0.532 (multiplicity 8)
Au 0.220 0.139 0.354 (multiplicity 8)

Computed properties:
- ΔH_f (0 K) (meV/atom) = -100
- crystal system = monoclinic
- relative energy among the computed polymorphs (meV per atom) = 12

***

5.
A relaxed InAgAu2 crystal, computed with PBE.

Lattice parameters (Å, degrees): 9.909 3.178 4.997 90.00 104.34 90.00
Space group C2/m (No. 12)
Asymmetric unit:
In 0.000 0.000 0.000 (multiplicity 2)
Ag 0.000 0.500 0.500 (multiplicity 2)
Au 0.249 0.500 0.253 (multiplicity 4)

Computed properties:
- ΔH_f (0 K) (meV/atom) = -68
- crystal system = monoclinic

***

6.
A relaxed InAgAu2 crystal, computed with PBE.

Lattice parameters (Å, degrees): 5.305 4.848 5.941 90.00 90.31 90.00
Space group P2_1/m (No. 11)
Asymmetric unit:
In 0.116 0.250 0.345 (multiplicity 2)
Ag 0.399 0.750 0.891 (multiplicity 2)
Au 0.090 0.250 0.849 (multiplicity 2)
Au 0.415 0.750 0.380 (multiplicity 2)

Computed properties:
- ΔH_f (0 K) (meV/atom) = -104
- crystal system = monoclinic

***

7.
A relaxed InAg2Au2 crystal, computed with PBE.

Lattice parameters (Å, degrees): 3.903 3.903 13.907 90.00 90.00 90.00
Space group I4/mmm (No. 139)
Asymmetric unit:
In 0.000 0.000 0.000 (multiplicity 2)
Ag 0.000 0.500 0.250 (multiplicity 4)
Au 0.000 0.000 0.401 (multiplicity 4)

Computed properties:
- ΔH_f (0 K) (meV/atom) = 6
- crystal system = tetragonal
- relative energy among the computed polymorphs (meV per atom) = 114

***

8.
A relaxed In2Ag7Au3 crystal, computed with PBE.

Lattice parameters (Å, degrees): 4.772 2.981 16.430 90.00 95.14 90.00
Space group P2/m (No. 10)
Asymmetric unit:
In 0.206 0.000 0.292 (multiplicity 2)
Ag 0.170 0.500 0.142 (multiplicity 2)
Ag 0.237 0.000 0.459 (multiplicity 2)
Ag 0.322 0.000 0.825 (multiplicity 2)
Ag 0.500 0.500 0.000 (multiplicity 1)
Au 0.000 0.000 0.000 (multiplicity 1)
Au 0.281 0.500 0.620 (multiplicity 2)

Computed properties:
- ΔH_f (0 K) (meV/atom) = 24
- crystal system = monoclinic
- relative energy among the computed polymorphs (meV per atom) = 10

***

9.
A relaxed InAg2Au8 crystal, computed with PBE.

Lattice parameters (Å, degrees): 14.271 5.890 5.061 90.00 92.76 90.00
Space group C2/m (No. 12)
Asymmetric unit:
In 0.000 0.000 0.000 (multiplicity 2)
Ag 0.159 0.500 0.319 (multiplicity 4)
Au 0.000 0.258 0.500 (multiplicity 4)
Au 0.166 0.253 0.828 (multiplicity 8)
Au 0.168 0.000 0.330 (multiplicity 4)

Computed properties:
- ΔH_f (0 K) (meV/atom) = -36
- crystal system = monoclinic
- relative energy among the computed polymorphs (meV per atom) = 0

***

10.
A relaxed InAg2Au2 crystal, computed with PBE.

Lattice parameters (Å, degrees): 8.281 8.281 2.941 90.00 90.00 90.00
Space group P4/mbm (No. 127)
Asymmetric unit:
In 0.000 0.000 0.000 (multiplicity 2)
Ag 0.122 0.378 0.000 (multiplicity 4)
Au 0.175 0.675 0.500 (multiplicity 4)

Computed properties:
- ΔH_f (0 K) (meV/atom) = -3
- crystal system = tetragonal
- relative energy among the computed polymorphs (meV per atom) = 105

***

11.
A relaxed InAg2Au crystal, computed with PBE.

Lattice parameters (Å, degrees): 3.639 3.639 5.876 90.00 90.00 90.00
Space group P4mm (No. 99)
Asymmetric unit:
In 0.000 0.000 0.000 (multiplicity 1)
Ag 0.000 0.000 0.501 (multiplicity 1)
Ag 0.500 0.500 0.265 (multiplicity 1)
Au 0.500 0.500 0.756 (multiplicity 1)

Computed properties:
- ΔH_f (0 K) (meV/atom) = -45
- crystal system = tetragonal

***

12.
A relaxed In2Ag12Au5 crystal, computed with PBE.

Lattice parameters (Å, degrees): 4.146 8.172 21.270 90.00 90.00 90.00
Space group Immm (No. 71)
Asymmetric unit:
In 0.000 0.231 0.000 (multiplicity 4)
Ag 0.000 0.000 0.102 (multiplicity 4)
Ag 0.000 0.251 0.201 (multiplicity 8)
Ag 0.000 0.253 0.400 (multiplicity 8)
Ag 0.000 0.500 0.101 (multiplicity 4)
Au 0.000 0.000 0.300 (multiplicity 4)
Au 0.000 0.000 0.500 (multiplicity 2)
Au 0.000 0.500 0.300 (multiplicity 4)

Computed properties:
- ΔH_f (0 K) (meV/atom) = -24
- crystal system = orthorhombic
- relative energy among the computed polymorphs (meV per atom) = 0

***

Q: Which value of ΔH_f (0 K) does entry 1 give?
A: -125 meV/atom

***

Q: Which value of ΔH_f (0 K) does entry 7 give?
A: 6 meV/atom